# K2Mn2RuO6 (PBE+U, optimized geometry)
data_K2Mn2RuO6
_chemical_formula_sum 'K4 Mn4 Ru2 O12'
_symmetry_space_group_name_H-M 'C 1 2/m 1'
_symmetry_Int_Tables_number 12
_symmetry_space_group_name_Hall '-C 2y'
_cell_length_a 5.595
_cell_length_b 9.005
_cell_length_c 6.522
_cell_angle_alpha 90.00
_cell_angle_beta 108.01
_cell_angle_gamma 90.00
loop_
_atom_site_label
_atom_site_type_symbol
_atom_site_fract_x
_atom_site_fract_y
_atom_site_fract_z
K1 K 0.000 0.172 0.000
Mn1 Mn 0.000 0.333 0.500
Ru1 Ru 0.000 0.000 0.500
O1 O 0.204 0.169 0.672
O2 O 0.227 0.500 0.656
# VASP energy	-143.74	eV/cell